# 1
# Ba2TaS3O

Ba2TaS3O after structural relaxation (PBE, Alexandria).

```
data_Ba2TaS3O
_chemical_formula_sum 'Ba4 Ta2 S6 O2'
_symmetry_space_group_name_H-M 'I m m m'
_symmetry_Int_Tables_number 71
_symmetry_space_group_name_Hall '-I 2 2'
_cell_length_a 4.0812
_cell_length_b 4.9258
_cell_length_c 16.3250
_cell_angle_alpha 90.00
_cell_angle_beta 90.00
_cell_angle_gamma 90.00
loop_
_atom_site_label
_atom_site_type_symbol
_atom_site_fract_x
_atom_site_fract_y
_atom_site_fract_z
Ba1 Ba 0.0000 0.0000 0.1460
Ta1 Ta 0.0000 0.0000 0.5000
S1 S 0.0000 0.0000 0.3420
S2 S 0.0000 0.5000 0.5000
O1 O 0.0000 0.5000 0.0000
```

M_tot, μB per formula unit: 0.0
Formation energy without anion corrections, eV per atom: -1.958
Theoretical density, g/cm³: 5.7

***

# 2
# TmCoGe3Rh

TmCoGe3Rh after structural relaxation (PBE, Alexandria).

```
data_TmCoGe3Rh
_chemical_formula_sum 'Tm4 Co4 Ge12 Rh4'
_symmetry_space_group_name_H-M 'C m c m'
_symmetry_Int_Tables_number 63
_symmetry_space_group_name_Hall '-C 2c 2'
_cell_length_a 6.2342
_cell_length_b 13.5153
_cell_length_c 5.6070
_cell_angle_alpha 90.00
_cell_angle_beta 90.00
_cell_angle_gamma 90.00
loop_
_atom_site_label
_atom_site_type_symbol
_atom_site_fract_x
_atom_site_fract_y
_atom_site_fract_z
Tm1 Tm 0.0000 0.1713 0.2500
Co1 Co 0.0000 0.0496 0.7500
Ge1 Ge 0.0000 0.2141 0.7500
Ge2 Ge 0.2177 0.5000 0.0000
Rh1 Rh 0.0000 0.3846 0.7500
```

M_tot, μB per formula unit: 0.0
Formation enthalpy at 0 K, eV per atom: -0.3014
Theoretical density, g/cm³: 7.7

***

# 3
# K3TiAs

K3TiAs after structural relaxation (PBE, Alexandria).

```
data_K3TiAs
_chemical_formula_sum 'K3 Ti1 As1'
_symmetry_space_group_name_H-M 'P m -3 m'
_symmetry_Int_Tables_number 221
_symmetry_space_group_name_Hall '-P 4 2 3'
_cell_length_a 6.3650
_cell_length_b 6.3650
_cell_length_c 6.3650
_cell_angle_alpha 90.00
_cell_angle_beta 90.00
_cell_angle_gamma 90.00
loop_
_atom_site_label
_atom_site_type_symbol
_atom_site_fract_x
_atom_site_fract_y
_atom_site_fract_z
K1 K 0.0000 0.0000 0.5000
Ti1 Ti 0.5000 0.5000 0.5000
As1 As 0.0000 0.0000 0.0000
```

Polymorph energy (0 for the lowest one), meV per atom: 0
M_tot, μB per formula unit: 0.3
Formation enthalpy at 0 K, eV per atom: 0.8010
Theoretical density, g/cm³: 1.5

***

# 4
# LiRe2Br

LiRe2Br after structural relaxation (PBE, Alexandria).

```
data_LiRe2Br
_chemical_formula_sum 'Li2 Re4 Br2'
_symmetry_space_group_name_H-M 'I 4/m m m'
_symmetry_Int_Tables_number 139
_symmetry_space_group_name_Hall '-I 4 2'
_cell_length_a 3.1969
_cell_length_b 3.1969
_cell_length_c 13.5310
_cell_angle_alpha 90.00
_cell_angle_beta 90.00
_cell_angle_gamma 90.00
loop_
_atom_site_label
_atom_site_type_symbol
_atom_site_fract_x
_atom_site_fract_y
_atom_site_fract_z
Li1 Li 0.0000 0.0000 0.0000
Re1 Re 0.0000 0.0000 0.2960
Br1 Br 0.0000 0.0000 0.5000
```

Polymorph energy (0 for the lowest one), meV per atom: 128
M_tot, μB per formula unit: 0.0
Formation energy without anion corrections, eV per atom: 0.286
Theoretical density, g/cm³: 11.0

***

# 5
# Nd2SmHo4Th

Nd2SmHo4Th after structural relaxation (PBE, Alexandria).

```
data_Nd2SmHo4Th
_chemical_formula_sum 'Nd2 Sm1 Ho4 Th1'
_symmetry_space_group_name_H-M 'P m m m'
_symmetry_Int_Tables_number 47
_cell_length_a 5.0951
_cell_length_b 5.1135
_cell_length_c 9.9837
_cell_angle_alpha 90.00
_cell_angle_beta 90.00
_cell_angle_gamma 90.00
loop_
_symmetry_equiv_pos_as_xyz
'x,y,z'
'-x,-y,-z'
'-x,-y,z'
'x,y,-z'
'x,-y,-z'
'-x,y,z'
'-x,y,-z'
'x,-y,z'
loop_
_atom_site_label
_atom_site_type_symbol
_atom_site_fract_x
_atom_site_fract_y
_atom_site_fract_z
Nd1 Nd 0.0000 0.0000 0.0000
Nd2 Nd 0.5000 0.5000 0.5000
Sm1 Sm 0.0000 0.0000 0.5000
Ho1 Ho 0.0000 0.5000 0.2457
Ho2 Ho 0.5000 0.0000 0.2455
Th1 Th 0.5000 0.5000 0.0000
```

M_tot, μB per formula unit: 0.0
Formation enthalpy at 0 K, eV per atom: 0.0294
Theoretical density, g/cm³: 8.5

***

# 6
# SrTaBe

SrTaBe after structural relaxation (PBE, Alexandria).

```
data_SrTaBe
_chemical_formula_sum 'Sr4 Ta4 Be4'
_symmetry_space_group_name_H-M 'F -4 3 m'
_symmetry_Int_Tables_number 216
_symmetry_space_group_name_Hall 'F -4 2 3'
_cell_length_a 6.5476
_cell_length_b 6.5476
_cell_length_c 6.5476
_cell_angle_alpha 90.00
_cell_angle_beta 90.00
_cell_angle_gamma 90.00
loop_
_atom_site_label
_atom_site_type_symbol
_atom_site_fract_x
_atom_site_fract_y
_atom_site_fract_z
Sr1 Sr 0.0000 0.0000 0.0000
Ta1 Ta 0.0000 0.0000 0.5000
Be1 Be 0.2500 0.2500 0.2500
```

Polymorph energy (0 for the lowest one), meV per atom: 706
M_tot, μB per formula unit: 1.0
Formation enthalpy at 0 K, eV per atom: 1.3549
Theoretical density, g/cm³: 6.6

***

# 7
# TmSiTc2Ge

TmSiTc2Ge after structural relaxation (PBE, Alexandria).

```
data_TmSiTc2Ge
_chemical_formula_sum 'Tm4 Si4 Tc8 Ge4'
_symmetry_space_group_name_H-M 'C m c m'
_symmetry_Int_Tables_number 63
_symmetry_space_group_name_Hall '-C 2c 2'
_cell_length_a 5.8259
_cell_length_b 10.2796
_cell_length_c 5.8383
_cell_angle_alpha 90.00
_cell_angle_beta 90.00
_cell_angle_gamma 90.00
loop_
_atom_site_label
_atom_site_type_symbol
_atom_site_fract_x
_atom_site_fract_y
_atom_site_fract_z
Tm1 Tm 0.0000 0.2475 0.2500
Si1 Si 0.0000 0.1191 0.7500
Tc1 Tc 0.2465 0.5000 0.0000
Ge1 Ge 0.0000 0.3594 0.7500
```

M_tot, μB per formula unit: 0.0
Formation energy without anion corrections, eV per atom: -0.505
Theoretical density, g/cm³: 8.8

***

# 8
# LaBeBr2

LaBeBr2 after structural relaxation (PBE, Alexandria).

```
data_LaBeBr2
_chemical_formula_sum 'La3 Be3 Br6'
_symmetry_space_group_name_H-M 'R -3 m'
_symmetry_Int_Tables_number 166
_symmetry_space_group_name_Hall '-R 3 2"'
_cell_length_a 4.0216
_cell_length_b 4.0216
_cell_length_c 31.1900
_cell_angle_alpha 90.00
_cell_angle_beta 90.00
_cell_angle_gamma 120.00
loop_
_atom_site_label
_atom_site_type_symbol
_atom_site_fract_x
_atom_site_fract_y
_atom_site_fract_z
La1 La 0.0000 0.0000 0.0000
Be1 Be 0.0000 0.0000 0.5000
Br1 Br 0.0000 0.0000 0.2705
```

Polymorph energy (0 for the lowest one), meV per atom: 367
M_tot, μB per formula unit: 0.0
Formation energy without anion corrections, eV per atom: -0.426
Theoretical density, g/cm³: 3.5

***

Question: theoretical density of number 1 (Ba2TaS3O)?
Answer: 5.7 g/cm³